Density functional theory data (GGA+U) for a relaxed KCaNi2H3Se2O10 crystal.

a b c (Å): 5.837 5.941 7.630
angles (deg): 104.14 101.15 100.01
Atoms (fractional coordinates):
1 K 0.000 0.000 0.000
2 Ca 0.392 0.539 0.003
3 Ni 0.297 0.214 0.440
4 Ni 0.551 0.653 0.423
5 H 0.719 0.431 0.666
6 H 0.836 0.261 0.451
7 H 0.850 0.992 0.337
8 Se 0.018 0.586 0.244
9 Se 0.433 0.931 0.755
10 O 0.240 0.665 0.657
11 O 0.264 0.846 0.315
12 O 0.312 0.385 0.238
13 O 0.317 0.168 0.731
14 O 0.512 0.954 0.982
15 O 0.646 0.394 0.533
16 O 0.675 0.934 0.665
17 O 0.752 0.723 0.246
18 O 0.939 0.166 0.385
19 O 0.979 0.524 0.005

Results
* energy above the most stable polymorph in this dataset: 0.08 eV per formula unit
* total DFT energy (no corrections): -97.56 eV per cell
* space group: P1, No. 1